The following is a GGA+U calculation of AlCrF6 after structural relaxation, from the Alexandria database.

abc: 4.8342 4.8342 8.8651
angles: 90.00 90.00 120.00
With the nearest neighbours (Å) after each atom.
Space group P-31c (No. 163)
Inequivalent atoms, fractional coordinates:
Al (0.3333, 0.6667, 0.2500)  6 F 1.83
Cr (0.0000, 0.0000, 0.0000)  6 F 1.96
F (0.0406, 0.3478, 0.1282)  1 Al 1.83, 1 Cr 1.96

Values from the calculation:
crystal system	trigonal
uncorrected energy	-5.915	eV/atom